1.
Computed, not measured: a geometry-optimized LaY2GeAs structure at the PBE level of DFT.

Calculated values
The density of states at the Fermi level is 6.2 states/eV/cell. Its formation energy is 0.869 eV/atom. For the magnetization, the calculation gives 0.000 μB/atom.

Cell and atoms, written as POSCAR:
```
LaY2GeAs
1.0
-3.2071 4.0590 2.4463
-3.3447 -3.8029 1.9251
3.1593 -0.3706 4.7568
Y As Ge La
2 1 1 1
Direct
0.0000 0.0000 0.5000
0.5000 0.0000 0.0000
0.0000 0.5000 0.0000
0.5000 0.5000 0.5000
0.0000 0.0000 0.0000
```

---

2.
Computed, not measured: a geometry-optimized La2ZnGeAs structure at the PBE level of DFT.

Calculated values
The density of states at the Fermi level is 4.4 states/eV/cell. Its formation energy is -0.382 eV/atom. For the magnetization, the calculation gives 0.000 μB/atom.

Cell and atoms, written as POSCAR:
```
La2ZnGeAs
1.0
-0.0462 -5.4761 1.6754
-0.2424 -1.3500 -4.4194
5.7188 -0.1319 -0.2733
Zn As Ge La
1 1 1 2
Direct
0.0000 0.5000 0.0000
0.0000 0.0000 0.0000
0.5000 0.5000 0.5000
0.0000 0.0000 0.5000
0.5000 0.0000 0.0000
```

---

3.
Computed, not measured: a geometry-optimized LiGe3As3 structure at the PBE level of DFT.

Calculated values
The density of states at the Fermi level is 2.3 states/eV/cell. Its formation energy is -0.012 eV/atom. For the magnetization, the calculation gives 0.000 μB/atom.

Cell and atoms, written as POSCAR:
```
LiGe3As3
1.0
7.8228 0.0000 0.0000
3.9114 6.7748 0.0000
3.9114 2.2583 6.0825
Li Ge As
2 6 6
Direct
0.3331 0.3331 0.0008
0.6669 0.6669 0.9992
0.4353 0.7825 0.6658
0.7825 0.1164 0.6658
0.1164 0.4353 0.6658
0.8836 0.5647 0.3342
0.2175 0.8836 0.3342
0.5647 0.2175 0.3342
0.2641 0.5772 0.2382
0.9205 0.2641 0.2382
0.5772 0.9205 0.2382
0.4228 0.0795 0.7618
0.0795 0.7359 0.7618
0.7359 0.4228 0.7618
```

---

For reference, uncorrected energy by record: -4.556; -4.461; -4.257 eV per atom.